# Ba2Tl6CdPd, relaxed, DFT PBE-GGA
# volume: 32.28 Å³ per atom
# E_form: -214.5 kJ/mol of formula units
# space group: R-3m
# Fermi-level density of states: 9.8 states/eV per cell
data_Ba2Tl6CdPd
_chemical_formula_sum 'Ba4 Tl12 Cd2 Pd2'
_symmetry_space_group_name_H-M 'P 1'
_symmetry_Int_Tables_number 1
_cell_length_a 7.544
_cell_length_b 7.544
_cell_length_c 13.805
_cell_angle_alpha 74.14
_cell_angle_beta 74.14
_cell_angle_gamma 60.00
loop_
_symmetry_equiv_pos_as_xyz
'x,y,z'
loop_
_atom_site_label
_atom_site_type_symbol
_atom_site_fract_x
_atom_site_fract_y
_atom_site_fract_z
Ba1 Ba 0.894 0.894 0.319
Ba2 Ba 0.106 0.106 0.681
Ba3 Ba 0.719 0.719 0.844
Ba4 Ba 0.281 0.281 0.156
Tl1 Tl 0.918 0.338 0.407
Tl2 Tl 0.338 0.918 0.407
Tl3 Tl 0.338 0.338 0.407
Tl4 Tl 0.082 0.662 0.593
Tl5 Tl 0.662 0.082 0.593
Tl6 Tl 0.662 0.662 0.593
Tl7 Tl 0.655 0.221 0.904
Tl8 Tl 0.221 0.655 0.904
Tl9 Tl 0.221 0.221 0.904
Tl10 Tl 0.345 0.779 0.096
Tl11 Tl 0.779 0.345 0.096
Tl12 Tl 0.779 0.779 0.096
Cd1 Cd 0.573 0.573 0.280
Cd2 Cd 0.427 0.427 0.720
Pd1 Pd 0.000 0.000 0.000
Pd2 Pd 0.500 0.500 0.500

# CaCeHo2, relaxed, DFT PBE-GGA
# volume: 32.96 Å³ per atom
# offset from the most stable computed form: 0.113 eV/atom
# E_form: 77.9 kJ/mol of formula units
# space group: P4/mmm
# Fermi-level density of states: 8.3 states/eV per cell
data_CaCeHo2
_chemical_formula_sum 'Ca1 Ce1 Ho2'
_symmetry_space_group_name_H-M 'P 1'
_symmetry_Int_Tables_number 1
_cell_length_a 5.049
_cell_length_b 5.110
_cell_length_c 5.110
_cell_angle_alpha 90.00
_cell_angle_beta 90.00
_cell_angle_gamma 90.00
loop_
_symmetry_equiv_pos_as_xyz
'x,y,z'
loop_
_atom_site_label
_atom_site_type_symbol
_atom_site_fract_x
_atom_site_fract_y
_atom_site_fract_z
Ca1 Ca 0.500 0.000 0.000
Ho1 Ho 0.000 0.000 0.500
Ho2 Ho 0.000 0.500 0.000
Ce1 Ce 0.500 0.500 0.500

# Dy3Si2Ni9Ge, relaxed, DFT PBE-GGA
# volume: 16.45 Å³ per atom
# formation energy from raw total energies: -0.32 eV/atom
# space group: P-3m1
# Fermi-level density of states: 9.6 states/eV per cell
data_Dy3Si2Ni9Ge
_chemical_formula_sum 'Dy3 Si2 Ni9 Ge1'
_symmetry_space_group_name_H-M 'P 1'
_symmetry_Int_Tables_number 1
_cell_length_a 5.881
_cell_length_b 5.881
_cell_length_c 8.235
_cell_angle_alpha 90.00
_cell_angle_beta 90.00
_cell_angle_gamma 120.00
loop_
_symmetry_equiv_pos_as_xyz
'x,y,z'
loop_
_atom_site_label
_atom_site_type_symbol
_atom_site_fract_x
_atom_site_fract_y
_atom_site_fract_z
Dy1 Dy 0.333 0.667 0.676
Dy2 Dy 0.000 0.000 0.000
Dy3 Dy 0.667 0.333 0.324
Si1 Si 0.333 0.667 0.179
Si2 Si 0.667 0.333 0.821
Ni1 Ni 0.860 0.140 0.719
Ni2 Ni 0.860 0.720 0.719
Ni3 Ni 0.280 0.140 0.719
Ni4 Ni 0.720 0.860 0.281
Ni5 Ni 0.140 0.280 0.281
Ni6 Ni 0.140 0.860 0.281
Ni7 Ni 0.500 0.000 0.000
Ni8 Ni 0.000 0.500 0.000
Ni9 Ni 0.500 0.500 0.000
Ge1 Ge 0.000 0.000 0.500

# Np2CO, relaxed, DFT PBE-GGA
# volume: 14.89 Å³ per atom
# offset from the most stable computed form: 0.000 eV/atom
# formation energy from raw total energies: -1.11 eV/atom
# space group: R-3m
# Fermi-level density of states: 8.5 states/eV per cell
data_Np2CO
_chemical_formula_sum 'Np2 C1 O1'
_symmetry_space_group_name_H-M 'P 1'
_symmetry_Int_Tables_number 1
_cell_length_a 3.503
_cell_length_b 3.503
_cell_length_c 5.959
_cell_angle_alpha 72.91
_cell_angle_beta 72.91
_cell_angle_gamma 60.00
loop_
_symmetry_equiv_pos_as_xyz
'x,y,z'
loop_
_atom_site_label
_atom_site_type_symbol
_atom_site_fract_x
_atom_site_fract_y
_atom_site_fract_z
Np1 Np 0.751 0.751 0.747
Np2 Np 0.249 0.249 0.253
C1 C 0.000 0.000 0.000
O1 O 0.500 0.500 0.500

# CdBi2Au2, relaxed, DFT PBE-GGA
# volume: 26.13 Å³ per atom
# offset from the most stable computed form: 0.114 eV/atom
# E_form: 32.7 kJ/mol of formula units
# space group: I4/mmm
# Fermi-level density of states: 2.4 states/eV per cell
data_CdBi2Au2
_chemical_formula_sum 'Cd1 Bi2 Au2'
_symmetry_space_group_name_H-M 'P 1'
_symmetry_Int_Tables_number 1
_cell_length_a 3.899
_cell_length_b 3.899
_cell_length_c 9.023
_cell_angle_alpha 77.52
_cell_angle_beta 77.52
_cell_angle_gamma 90.00
loop_
_symmetry_equiv_pos_as_xyz
'x,y,z'
loop_
_atom_site_label
_atom_site_type_symbol
_atom_site_fract_x
_atom_site_fract_y
_atom_site_fract_z
Au1 Au 0.750 0.250 0.500
Au2 Au 0.250 0.750 0.500
Bi1 Bi 0.389 0.389 0.222
Bi2 Bi 0.611 0.611 0.778
Cd1 Cd 0.000 0.000 0.000

# KGaOsO6, relaxed, DFT PBE-GGA
# volume: 15.68 Å³ per atom
# formation energy from raw total energies: -1.27 eV/atom
# space group: P-31c
data_KGaOsO6
_chemical_formula_sum 'K2 Ga2 Os2 O12'
_symmetry_space_group_name_H-M 'P 1'
_symmetry_Int_Tables_number 1
_cell_length_a 5.242
_cell_length_b 5.242
_cell_length_c 11.865
_cell_angle_alpha 90.00
_cell_angle_beta 90.00
_cell_angle_gamma 120.00
loop_
_symmetry_equiv_pos_as_xyz
'x,y,z'
loop_
_atom_site_label
_atom_site_type_symbol
_atom_site_fract_x
_atom_site_fract_y
_atom_site_fract_z
K1 K 0.000 0.000 0.000
K2 K 0.000 0.000 0.500
Ga1 Ga 0.667 0.333 0.250
Ga2 Ga 0.333 0.667 0.750
Os1 Os 0.333 0.667 0.250
Os2 Os 0.667 0.333 0.750
O1 O 0.595 0.613 0.159
O2 O 0.018 0.405 0.159
O3 O 0.405 0.018 0.659
O4 O 0.982 0.595 0.841
O5 O 0.387 0.405 0.341
O6 O 0.018 0.613 0.341
O7 O 0.613 0.018 0.841
O8 O 0.595 0.982 0.341
O9 O 0.982 0.387 0.659
O10 O 0.387 0.982 0.159
O11 O 0.613 0.595 0.659
O12 O 0.405 0.387 0.841

# LuCdAgPb, relaxed, DFT PBE-GGA
# volume: 23.64 Å³ per atom
# E_form: -59.3 kJ/mol of formula units
# space group: F-43m
# Fermi-level density of states: 0.7 states/eV per cell
data_LuCdAgPb
_chemical_formula_sum 'Lu1 Cd1 Ag1 Pb1'
_symmetry_space_group_name_H-M 'P 1'
_symmetry_Int_Tables_number 1
_cell_length_a 5.114
_cell_length_b 5.114
_cell_length_c 5.114
_cell_angle_alpha 60.00
_cell_angle_beta 60.00
_cell_angle_gamma 60.00
loop_
_symmetry_equiv_pos_as_xyz
'x,y,z'
loop_
_atom_site_label
_atom_site_type_symbol
_atom_site_fract_x
_atom_site_fract_y
_atom_site_fract_z
Pb1 Pb 0.500 0.500 0.500
Lu1 Lu 0.750 0.750 0.750
Ag1 Ag 0.000 0.000 0.000
Cd1 Cd 0.250 0.250 0.250

# LiTi2As2, relaxed, DFT PBE-GGA
# volume: 16.41 Å³ per atom
# offset from the most stable computed form: 0.000 eV/atom
# E_form: -357.7 kJ/mol of formula units
# space group: P4/mbm
# Fermi-level density of states: 9.6 states/eV per cell
data_LiTi2As2
_chemical_formula_sum 'Li2 Ti4 As4'
_symmetry_space_group_name_H-M 'P 1'
_symmetry_Int_Tables_number 1
_cell_length_a 6.952
_cell_length_b 6.952
_cell_length_c 3.395
_cell_angle_alpha 90.00
_cell_angle_beta 90.00
_cell_angle_gamma 90.00
loop_
_symmetry_equiv_pos_as_xyz
'x,y,z'
loop_
_atom_site_label
_atom_site_type_symbol
_atom_site_fract_x
_atom_site_fract_y
_atom_site_fract_z
As1 As 0.347 0.847 0.000
As2 As 0.847 0.653 0.000
As3 As 0.653 0.153 0.000
As4 As 0.153 0.347 0.000
Li1 Li 0.000 0.000 0.000
Li2 Li 0.500 0.500 0.000
Ti1 Ti 0.144 0.644 0.500
Ti2 Ti 0.644 0.856 0.500
Ti3 Ti 0.856 0.356 0.500
Ti4 Ti 0.356 0.144 0.500

# K3Fe2S4, relaxed, DFT PBE-GGA
# volume: 26.18 Å³ per atom
# formation energy from raw total energies: -0.81 eV/atom
# space group: C2/c
# Fermi-level density of states: 4.5 states/eV per cell
data_K3Fe2S4
_chemical_formula_sum 'K6 Fe4 S8'
_symmetry_space_group_name_H-M 'P 1'
_symmetry_Int_Tables_number 1
_cell_length_a 6.830
_cell_length_b 8.515
_cell_length_c 8.515
_cell_angle_alpha 72.56
_cell_angle_beta 86.61
_cell_angle_gamma 86.61
loop_
_symmetry_equiv_pos_as_xyz
'x,y,z'
loop_
_atom_site_label
_atom_site_type_symbol
_atom_site_fract_x
_atom_site_fract_y
_atom_site_fract_z
K1 K 0.953 0.984 0.254
K2 K 0.547 0.746 0.016
K3 K 0.047 0.016 0.746
K4 K 0.453 0.254 0.984
K5 K 0.250 0.592 0.408
K6 K 0.750 0.408 0.592
Fe1 Fe 0.441 0.159 0.412
Fe2 Fe 0.059 0.588 0.841
Fe3 Fe 0.559 0.841 0.588
Fe4 Fe 0.941 0.412 0.159
S1 S 0.482 0.934 0.311
S2 S 0.018 0.689 0.066
S3 S 0.518 0.066 0.689
S4 S 0.982 0.311 0.934
S5 S 0.112 0.258 0.387
S6 S 0.388 0.613 0.742
S7 S 0.888 0.742 0.613
S8 S 0.612 0.387 0.258

# BaPrEu2, relaxed, DFT PBE-GGA
# volume: 44.34 Å³ per atom
# offset from the most stable computed form: 0.060 eV/atom
# E_form: 54.5 kJ/mol of formula units
# space group: P4/mmm
# Fermi-level density of states: 4.8 states/eV per cell
data_BaPrEu2
_chemical_formula_sum 'Ba1 Pr1 Eu2'
_symmetry_space_group_name_H-M 'P 1'
_symmetry_Int_Tables_number 1
_cell_length_a 4.370
_cell_length_b 6.371
_cell_length_c 6.371
_cell_angle_alpha 90.00
_cell_angle_beta 90.00
_cell_angle_gamma 90.00
loop_
_symmetry_equiv_pos_as_xyz
'x,y,z'
loop_
_atom_site_label
_atom_site_type_symbol
_atom_site_fract_x
_atom_site_fract_y
_atom_site_fract_z
Eu1 Eu 0.000 0.000 0.500
Eu2 Eu 0.000 0.500 0.000
Pr1 Pr 0.500 0.500 0.500
Ba1 Ba 0.500 0.000 0.000

# CdNiAs2Cl, relaxed, DFT PBE-GGA
# volume: 24.07 Å³ per atom
# formation energy from raw total energies: 1.18 eV/atom
# space group: P4/mmm
# Fermi-level density of states: 4.3 states/eV per cell
data_CdNiAs2Cl
_chemical_formula_sum 'Cd1 Ni1 As2 Cl1'
_symmetry_space_group_name_H-M 'P 1'
_symmetry_Int_Tables_number 1
_cell_length_a 4.877
_cell_length_b 5.060
_cell_length_c 4.877
_cell_angle_alpha 90.00
_cell_angle_beta 90.00
_cell_angle_gamma 90.00
loop_
_symmetry_equiv_pos_as_xyz
'x,y,z'
loop_
_atom_site_label
_atom_site_type_symbol
_atom_site_fract_x
_atom_site_fract_y
_atom_site_fract_z
Ni1 Ni 0.500 0.500 0.500
As1 As 0.000 0.000 0.500
As2 As 0.500 0.000 0.000
Cl1 Cl 0.000 0.000 0.000
Cd1 Cd 0.000 0.500 0.000

# AcCrP2Ru, relaxed, DFT PBE-GGA
# volume: 18.71 Å³ per atom
# E_form: -420.5 kJ/mol of formula units
# space group: I-4m2
# Fermi-level density of states: 3.6 states/eV per cell
data_AcCrP2Ru
_chemical_formula_sum 'Ac1 Cr1 P2 Ru1'
_symmetry_space_group_name_H-M 'P 1'
_symmetry_Int_Tables_number 1
_cell_length_a 3.997
_cell_length_b 3.997
_cell_length_c 6.502
_cell_angle_alpha 107.90
_cell_angle_beta 107.90
_cell_angle_gamma 90.00
loop_
_symmetry_equiv_pos_as_xyz
'x,y,z'
loop_
_atom_site_label
_atom_site_type_symbol
_atom_site_fract_x
_atom_site_fract_y
_atom_site_fract_z
Ac1 Ac 0.000 0.000 0.000
Cr1 Cr 0.250 0.750 0.500
P1 P 0.644 0.644 0.288
P2 P 0.356 0.356 0.712
Ru1 Ru 0.750 0.250 0.500